VASP calculation (GGA-PBE) on La12Dy6Mg after structural relaxation.

POSCAR file:
```
La12Dy6Mg
1.0
8.735 0.279 -1.574
-1.931 8.524 -1.574
0.215 0.279 8.873
Dy La Mg
6 12 1
Cartesian
3.712 7.727 5.333
3.308 1.354 0.392
5.974 7.724 2.563
6.540 5.538 5.336
1.046 1.356 3.162
0.480 3.543 0.388
5.955 2.428 -1.572
1.065 6.653 7.296
3.995 5.170 -0.355
2.436 0.281 6.149
6.563 3.912 1.738
-1.369 6.374 1.149
4.584 8.800 -0.425
4.888 1.744 3.985
2.132 7.337 1.740
8.389 2.707 4.576
0.457 5.168 3.986
3.025 3.911 6.079
0.000 0.000 0.000
```

Properties
DFT formation energy   226 kJ/mol of formula units
Total magnetic moment   0.0 μB/f.u.